[1]
This record from Alexandria via LeMat-Bulk describes a geometry-optimized Mo2HIrAu structure. The functional is PBE-GGA.

Lattice parameters (Å, degrees): 3.9746 3.9746 4.1206 90.00 90.00 90.00
Closest atoms and distances in Å follow each position.
Positions (direct):
H 0.0000 0.0000 0.0000  4 Mo 1.99, 2 Ir 2.06
Mo 0.0000 0.5000 0.0000  2 H 1.99
Mo 0.5000 0.0000 0.0000  2 H 1.99
Ir 0.0000 0.0000 0.5000  2 H 2.06
Au 0.5000 0.5000 0.5000  4 Ir 2.81, 8 Mo 2.86

* DOS(E_F): 4.48 states/eV per cell
* M_tot: 0.00 μB/cell
* crystal system: tetragonal
* space group: No. 123
* raw total energy: -7.29 eV/atom

***

[2]
This record from Alexandria via LeMat-Bulk describes a geometry-optimized Nb2HIrAu structure. The functional is PBE-GGA.

Lattice parameters (Å, degrees): 4.0667 4.0667 4.2080 90.00 90.00 90.00
Closest atoms and distances in Å follow each position.
Positions (direct):
H 0.0000 0.0000 0.0000  4 Nb 2.03, 2 Au 2.10
Nb 0.0000 0.5000 0.0000  2 H 2.03
Nb 0.5000 0.0000 0.0000  2 H 2.03
Ir 0.5000 0.5000 0.5000  4 Au 2.88, 8 Nb 2.93
Au 0.0000 0.0000 0.5000  2 H 2.10

* DOS(E_F): 2.39 states/eV per cell
* M_tot: 0.00 μB/cell
* crystal system: tetragonal
* space group: No. 123
* ΔE to the lowest computed polymorph: 59 meV per atom

***

[3]
This record from Alexandria via LeMat-Bulk describes a geometry-optimized Nb2HIrAu structure. The functional is PBE-GGA.

Lattice parameters (Å, degrees): 4.1256 4.1256 4.0813 90.00 90.00 90.00
Closest atoms and distances in Å follow each position.
Positions (direct):
H 0.0000 0.0000 0.0000  2 Ir 2.04, 4 Nb 2.06
Nb 0.0000 0.5000 0.0000  2 H 2.06
Nb 0.5000 0.0000 0.0000  2 H 2.06
Ir 0.0000 0.0000 0.5000  2 H 2.04
Au 0.5000 0.5000 0.5000  8 Nb 2.90, 4 Ir 2.92

* DOS(E_F): 2.55 states/eV per cell
* M_tot: 0.00 μB/cell
* crystal system: tetragonal
* space group: No. 123
* ΔE to the lowest computed polymorph: 0 meV per atom

***

[4]
This record from Alexandria via LeMat-Bulk describes a geometry-optimized NdH4IrAu2 structure. The functional is PBE-GGA.

Lattice parameters (Å, degrees): 6.0348 5.9902 5.0416 124.80 124.35 92.92
Closest atoms and distances in Å follow each position.
Positions (direct):
Nd 0.9677 0.4677 0.9714  6 H 2.52-2.64
H 0.4958 0.4954 0.4701  1 Ir 1.73
H 0.0282 0.6841 0.6948  1 Ir 1.67
H 0.4628 0.8091 0.2510  1 Ir 1.68
H 0.9065 0.9059 0.4706  1 Ir 1.67
Ir 0.7047 0.7050 0.4711  4 H 1.67-1.73
Au 0.5997 0.0977 0.9717  4 H 2.48-2.73, 2 Ir 2.74
Au 0.2216 0.2222 0.4735  1 H 2.28

* DOS(E_F): 0.33 states/eV per cell
* M_tot: 0.00 μB/cell
* crystal system: triclinic
* space group: No. 1
* raw total energy: -4.47 eV/atom

***

[5]
This record from Alexandria via LeMat-Bulk describes a geometry-optimized HIrOsAu2 structure. The functional is PBE-GGA.

Lattice parameters (Å, degrees): 5.1135 4.6541 5.1135 90.00 90.00 90.00
Closest atoms and distances in Å follow each position.
Positions (direct):
Os 0.0000 0.0000 0.0000  2 Ir 2.33, 4 Au 2.56
Ir 0.0000 0.5000 0.0000  2 Os 2.33
Au 0.0000 0.0000 0.5000  2 Os 2.56
Au 0.5000 0.0000 0.0000  2 Os 2.56
H 0.5000 0.5000 0.5000  8 Au 3.46, 4 Ir 3.62

* DOS(E_F): 6.17 states/eV per cell
* M_tot: 0.99 μB/cell
* crystal system: tetragonal
* space group: No. 123
* raw total energy: -4.11 eV/atom

***

[6]
This record from Alexandria via LeMat-Bulk describes a geometry-optimized PHIrAu structure. The functional is PBE-GGA.

Lattice parameters (Å, degrees): 3.4815 3.4850 5.9797 89.53 71.85 61.66
Closest atoms and distances in Å follow each position.
Positions (direct):
P 0.1800 0.4017 0.4682  3 Ir 2.27-2.29, 1 Au 2.41
H 0.0802 0.7890 0.9591  1 Ir 1.81, 2 Au 1.86
Ir 0.3892 0.7963 0.6543  1 H 1.81
Au 0.4817 0.2691 0.0382  2 H 1.86

* DOS(E_F): 0.93 states/eV per cell
* M_tot: 0.00 μB/cell
* crystal system: triclinic
* space group: No. 1
* ΔE to the lowest computed polymorph: 28 meV per atom

***

[7]
This record from Alexandria via LeMat-Bulk describes a geometry-optimized PHIrAu structure. The functional is PBE-GGA.

Lattice parameters (Å, degrees): 3.3138 3.3138 18.4532 90.00 90.00 120.00
Closest atoms and distances in Å follow each position.
Positions (direct):
P 0.0000 0.0000 0.6088  3 Ir 2.27, 1 Au 2.36
P 0.3333 0.6667 0.2755  3 Ir 2.27, 1 Au 2.36
P 0.6667 0.3333 0.9421  3 Ir 2.27, 1 Au 2.36
H 0.0000 0.0000 0.8309  1 Au 1.74
H 0.3333 0.6667 0.4976  1 Au 1.74
H 0.6667 0.3333 0.1642  1 Au 1.74
Ir 0.0000 0.0000 0.2088  3 H 2.08, 3 P 2.27
Ir 0.3333 0.6667 0.8755  3 H 2.08, 3 P 2.27
Ir 0.6667 0.3333 0.5422  3 H 2.08, 3 P 2.27
Au 0.0000 0.0000 0.7364  1 H 1.74
Au 0.3333 0.6667 0.4031  1 H 1.74
Au 0.6667 0.3333 0.0698  1 H 1.74

* M_tot: 0.00 μB/cell
* crystal system: trigonal
* space group: No. 160
* ΔE to the lowest computed polymorph: 7 meV per atom

***

[8]
This record from Alexandria via LeMat-Bulk describes a geometry-optimized PHIrAu structure. The functional is PBE-GGA.

Lattice parameters (Å, degrees): 3.4084 3.4084 19.6663 90.00 90.00 120.00
Closest atoms and distances in Å follow each position.
Positions (direct):
P 0.0000 0.0000 0.7346  1 H 1.49
P 0.3333 0.6667 0.4012  1 H 1.49
P 0.6667 0.3333 0.0679  1 H 1.49
H 0.0000 0.0000 0.8102  1 P 1.49
H 0.3333 0.6667 0.4769  1 P 1.49
H 0.6667 0.3333 0.1436  1 P 1.49
Ir 0.0000 0.0000 0.3473  3 P 2.23
Ir 0.3333 0.6667 0.0140  3 P 2.23
Ir 0.6667 0.3333 0.6807  3 P 2.23
Au 0.0000 0.0000 0.9124  1 H 2.01
Au 0.3333 0.6667 0.5791  1 H 2.01
Au 0.6667 0.3333 0.2458  1 H 2.01

* M_tot: 0.00 μB/cell
* crystal system: trigonal
* space group: No. 160
* ΔE to the lowest computed polymorph: 0 meV per atom